VASP calculation (PBE-GGA) on an optimized crystal structure of Ac2Zn5Pt4.

Results
N(E_F): 0.47 states/eV/atom
uncorrected energy: -4.243 eV per atom
energy of formation: -0.72 eV per atom
total magnetization: 0.00 Bohr magnetons per cell

a b c (Å): 5.552 10.073 16.013
angles (deg): 90.00 90.00 90.00
Space group Fmmm (No. 69)
Unique sites:
1 Ac 0.000 0.000 0.148
2 Zn 0.000 0.000 0.500
3 Zn 0.250 0.250 0.000
4 Zn 0.250 0.250 0.250
5 Pt 0.000 0.153 0.372